{
  "formula": "CdAs2Br",
  "functional": "PBE",
  "state": "optimized geometry",
  "polymorph_energy_kcal_per_mol_atoms": 2.682,
  "e_form_raw_ev_per_atom": -0.057,
  "energy_ev_per_cell": -12.1,
  "spacegroup": "P2/m",
  "cell": [[-4.9118, 0.6129, -1.1849], [-0.5737, -3.7004, 0.4642], [-1.3956, -0.7305, 5.4074]],
  "species": ["As", "As", "Br", "Cd"],
  "fractional_positions": [[0.0000, 0.9477, 0.9082], [0.0000, 0.5523, 0.5918], [0.5000, 0.2500, 0.2500], [0.5000, 0.7500, 0.7500]]
}